[1]
# YZr2Ni | Alexandria via LeMat-Bulk | PBE | relaxed
# - Energy of formation: -89 meV per atom
# - Fermi-level density of states: 4.40 states/eV/cell
# - Energy above the lowest structure with this stoichiometry: 72.9 meV/atom
data_YZr2Ni
_chemical_formula_sum 'Y1 Zr2 Ni1'
_space_group_name_H-M_alt 'P 1'
_space_group_IT_number 1
_cell_length_a 5.845
_cell_length_b 5.845
_cell_length_c 5.388
_cell_angle_alpha 62.33
_cell_angle_beta 62.33
_cell_angle_gamma 33.39
loop_
_space_group_symop_operation_xyz
'x,y,z'
loop_
_atom_site_label
_atom_site_type_symbol
_atom_site_fract_x
_atom_site_fract_y
_atom_site_fract_z
Ni1 Ni 0.490 0.490 0.632
Zr1 Zr 0.801 0.801 0.644
Zr2 Zr 0.006 0.006 0.978
Y1 Y 0.204 0.204 0.245

=====

[2]
# CeHoRuRh | Alexandria via LeMat-Bulk | PBE | relaxed
# - Energy of formation: -588 meV per atom
# - Fermi-level density of states: 3.66 states/eV/cell
# - Energy above the lowest structure with this stoichiometry: 0.0 meV/atom
data_CeHoRuRh
_chemical_formula_sum 'Ce1 Ho1 Ru1 Rh1'
_space_group_name_H-M_alt 'P 1'
_space_group_IT_number 1
_cell_length_a 3.449
_cell_length_b 3.449
_cell_length_c 6.828
_cell_angle_alpha 90.00
_cell_angle_beta 90.00
_cell_angle_gamma 90.00
loop_
_space_group_symop_operation_xyz
'x,y,z'
loop_
_atom_site_label
_atom_site_type_symbol
_atom_site_fract_x
_atom_site_fract_y
_atom_site_fract_z
Ce1 Ce 0.000 0.000 0.856
Ho1 Ho 0.000 0.000 0.358
Ru1 Ru 0.500 0.500 0.616
Rh1 Rh 0.500 0.500 0.098

=====

[3]
# Na3SrHg4 | Alexandria via LeMat-Bulk | PBE | relaxed
# - Energy of formation: -304 meV per atom
# - Fermi-level density of states: 8.48 states/eV/cell
data_Na3SrHg4
_chemical_formula_sum 'Na6 Sr2 Hg8'
_space_group_name_H-M_alt 'P 1'
_space_group_IT_number 1
_cell_length_a 5.498
_cell_length_b 7.563
_cell_length_c 10.651
_cell_angle_alpha 90.00
_cell_angle_beta 90.00
_cell_angle_gamma 90.00
loop_
_space_group_symop_operation_xyz
'x,y,z'
loop_
_atom_site_label
_atom_site_type_symbol
_atom_site_fract_x
_atom_site_fract_y
_atom_site_fract_z
Hg1 Hg 0.500 0.766 0.000
Na1 Na 0.532 0.500 0.750
Hg2 Hg 0.500 0.766 0.500
Na2 Na 0.573 0.000 0.750
Na3 Na 0.000 0.000 0.500
Hg3 Hg 0.500 0.234 0.500
Hg4 Hg 0.921 0.773 0.250
Na4 Na 0.427 0.000 0.250
Na5 Na 0.468 0.500 0.250
Na6 Na 0.000 0.000 0.000
Sr1 Sr 0.000 0.500 0.000
Hg5 Hg 0.079 0.227 0.750
Hg6 Hg 0.921 0.227 0.250
Hg7 Hg 0.079 0.773 0.750
Sr2 Sr 0.000 0.500 0.500
Hg8 Hg 0.500 0.234 0.000

=====

[4]
# CrRhBr2 | Alexandria via LeMat-Bulk | PBE | relaxed
# - Raw formation energy: 0.380 eV/atom
# - Fermi-level density of states: 2.83 states/eV/cell
# - Energy above the lowest structure with this stoichiometry: 450.0 meV/atom
data_CrRhBr2
_chemical_formula_sum 'Cr1 Rh1 Br2'
_space_group_name_H-M_alt 'P 1'
_space_group_IT_number 1
_cell_length_a 5.189
_cell_length_b 5.189
_cell_length_c 5.189
_cell_angle_alpha 137.85
_cell_angle_beta 107.21
_cell_angle_gamma 87.86
loop_
_space_group_symop_operation_xyz
'x,y,z'
loop_
_atom_site_label
_atom_site_type_symbol
_atom_site_fract_x
_atom_site_fract_y
_atom_site_fract_z
Cr1 Cr 0.750 0.250 0.500
Br1 Br 0.013 0.013 0.000
Br2 Br 0.487 0.487 0.000
Rh1 Rh 0.250 0.750 0.500

=====

Number 3 is which compound?
Na3SrHg4